This record from the Alexandria database describes an optimized crystal structure of Li6Ni3P6WO24. The functional is GGA+U.

abc: 9.059 8.949 9.094
angles: 56.42 55.43 56.03
Each line ends with the local moment (μB).
Fractional positions:
1 O 0.621 0.982 0.800  0.00
2 O 0.150 0.201 0.501  0.02
3 O 0.867 0.263 0.121  0.02
4 O 0.181 0.536 0.492  0.02
5 Ni 0.637 0.660 0.649  1.80
6 P 0.521 0.976 0.241  0.01
7 P 0.444 0.057 0.743  0.01
8 O 0.379 0.992 0.192  -0.02
9 Li 0.905 0.674 0.284  0.00
10 O 0.999 0.809 0.611  0.00
11 O 0.856 0.116 0.741  0.00
12 Li 0.779 0.099 0.374  0.00
13 O 0.819 0.461 0.506  0.01
14 P 0.948 0.252 0.520  0.01
15 O 0.434 0.871 0.778  0.02
16 P 0.235 0.547 0.967  0.01
17 O 0.941 0.189 0.400  0.01
18 W 0.850 0.855 0.849  0.02
19 O 0.512 0.840 0.444  0.00
20 O 0.204 0.581 0.136  0.02
21 O 0.101 0.757 0.861  0.00
22 Li 0.443 0.465 0.462  0.00
23 O 0.439 0.518 0.817  0.02
24 Ni 0.133 0.153 0.141  1.81
25 Li 0.328 0.747 0.073  0.00
26 O 0.503 0.184 0.530  0.02
27 O 0.845 0.782 0.471  0.02
28 Li 0.273 0.934 0.646  0.00
29 O 0.735 0.873 0.101  0.00
30 O 0.529 0.170 0.186  0.01
31 P 0.737 0.458 0.036  0.01
32 O 0.741 0.476 0.858  0.02
33 O 0.265 0.163 0.869  0.02
34 Ni 0.333 0.353 0.338  1.81
35 P 0.042 0.744 0.452  0.01
36 Li 0.650 0.293 0.907  0.00
37 O 0.127 0.879 0.256  0.01
38 O 0.151 0.406 0.039  0.01
39 O 0.814 0.618 0.975  0.00
40 O 0.529 0.514 0.185  0.02

Output
Electronic total energy: -6.5232 eV per atom
Spin magnetization: 5.824 μB/f.u.